# Tb2DyTl4

A relaxed structure of Tb2DyTl4 (PBE-GGA, Alexandria).

Calculated values
**Crystal system**: trigonal
**E above lowest polymorph**: 0.143 eV per atom
**Mass density**: 10.29 g cm⁻³

Unit cell a=4.8667 b=4.8667 c=10.5864 alpha=76.71 beta=76.71 gamma=60.00
Last column: nearest neighbours and their distance in Å.
Fractional coordinates of all 7 atoms:
Tb: 0.8710 0.8710 0.3870  3 Tl 3.06
Dy: 0.0000 0.0000 0.0000  6 Tl 3.18
Tb: 0.1290 0.1290 0.6130  3 Tl 3.06
Tl: 0.7560 0.7560 0.7320  3 Tb 3.06, 3 Tl 3.08
Tl: 0.3817 0.3817 0.8548  3 Tl 3.08, 3 Dy 3.18
Tl: 0.6183 0.6183 0.1452  3 Tl 3.08, 3 Dy 3.18
Tl: 0.2440 0.2440 0.2680  3 Tb 3.06, 3 Tl 3.08

---

# Dy4ThCd

A relaxed structure of Dy4ThCd (PBE-GGA, Alexandria).

Calculated values
**Crystal system**: monoclinic
**E above lowest polymorph**: 0.108 eV per atom
**Mass density**: 9.04 g cm⁻³

Unit cell a=6.2478 b=8.7956 c=8.3617 alpha=113.24 beta=100.88 gamma=110.59
Last column: nearest neighbours and their distance in Å.
Fractional coordinates of all 12 atoms:
Cd: 0.2503 0.0003 0.0007  2 Cd 3.12, 8 Dy 3.20-3.23
Dy: 0.2366 0.2927 0.3785  2 Cd 3.22-3.23, 5 Dy 3.38-3.60, 2 Th 3.44-3.48
Dy: 0.2480 0.6069 0.7900  2 Cd 3.20-3.22, 3 Dy 3.43-3.49, 2 Th 3.45-3.57
Dy: 0.6419 0.0857 0.3785  2 Cd 3.22-3.23, 5 Dy 3.38-3.60, 2 Th 3.44-3.48
Dy: 0.3581 0.9143 0.6215  2 Cd 3.22-3.23, 5 Dy 3.38-3.60, 2 Th 3.44-3.48
Dy: 0.7520 0.3931 0.2100  2 Cd 3.20-3.22, 3 Dy 3.43-3.49, 2 Th 3.45-3.57
Th: 0.6455 0.3955 0.7910  10 Dy 3.44-3.59
Dy: 0.9580 0.8169 0.2100  2 Cd 3.20-3.22, 3 Dy 3.43-3.49, 2 Th 3.45-3.57
Dy: 0.7634 0.7073 0.6215  2 Cd 3.22-3.23, 5 Dy 3.38-3.60, 2 Th 3.44-3.48
Dy: 0.0420 0.1831 0.7900  2 Cd 3.20-3.22, 3 Dy 3.43-3.49, 2 Th 3.45-3.57
Th: 0.3545 0.6045 0.2090  10 Dy 3.44-3.59
Cd: 0.7497 0.9997 0.9993  2 Cd 3.12, 8 Dy 3.20-3.23

---

# HoRu4

A relaxed structure of HoRu4 (PBE-GGA, Alexandria).

Calculated values
**Crystal system**: cubic
**Final energy**: -6.03 eV/atom
**Mass density**: 8.86 g cm⁻³

Unit cell a=4.7420 b=4.7420 c=4.7420 alpha=90.00 beta=90.00 gamma=90.00
Last column: nearest neighbours and their distance in Å.
Fractional coordinates of all 5 atoms:
Ru: 0.5000 0.5000 0.0000  2 Ho 2.37
Ru: 0.0000 0.5000 0.5000  2 Ho 2.37
Ho: 0.5000 0.5000 0.5000  6 Ru 2.37
Ru: 0.5000 0.0000 0.5000  2 Ho 2.37
Ru: 0.0000 0.0000 0.0000  12 Ru 3.35

---

# Ho2Mg3Co2

A relaxed structure of Ho2Mg3Co2 (PBE-GGA, Alexandria).

Calculated values
**Crystal system**: monoclinic
**Final energy**: -4.16 eV/atom
**Mass density**: 6.00 g cm⁻³

Unit cell a=4.0949 b=5.4711 c=7.0153 alpha=98.27 beta=90.00 gamma=111.98
Last column: nearest neighbours and their distance in Å.
Fractional coordinates of all 7 atoms:
Ho: 0.3722 0.7443 0.6299  5 Co 2.86-3.01
Co: 0.0759 0.1517 0.6337  1 Co 2.23
Mg: 0.0000 0.0000 0.0000  2 Co 2.79, 4 Mg 3.04
Ho: 0.6278 0.2557 0.3701  5 Co 2.86-3.01
Mg: 0.6825 0.3650 0.8541  2 Co 2.69
Co: 0.9241 0.8483 0.3663  1 Co 2.23
Mg: 0.3175 0.6350 0.1459  2 Co 2.69

---

# LaGe2RhS

A relaxed structure of LaGe2RhS (PBE-GGA, Alexandria).

Calculated values
**Raw formation energy**: -4.19 eV/f.u.
**Crystal system**: orthorhombic
**E above lowest polymorph**: 0.024 eV per atom
**Mass density**: 6.61 g cm⁻³

Unit cell a=3.8970 b=4.0565 c=6.9378 alpha=90.00 beta=106.29 gamma=90.00
Last column: nearest neighbours and their distance in Å.
Fractional coordinates of all 5 atoms:
La: 0.9932 0.0000 0.6437  4 S 2.93-2.94, 2 Rh 3.20
Rh: 0.8082 0.5000 0.2723  4 Ge 2.52-2.54, 2 S 2.54
S: 0.4307 0.5000 0.5171  2 Rh 2.54
Ge: 0.6935 0.0000 0.0437  2 Rh 2.54, 4 Ge 2.81
Ge: 0.1885 0.5000 0.0329  2 Rh 2.52, 4 Ge 2.81

---

# ErSeCl

A relaxed structure of ErSeCl (PBE-GGA, Alexandria).

Calculated values
**Raw formation energy**: -5.02 eV/f.u.
**Crystal system**: tetragonal
**E above lowest polymorph**: 0.388 eV per atom
**Mass density**: 5.49 g cm⁻³

Unit cell a=3.5089 b=3.5089 c=7.3453 alpha=103.82 beta=103.82 gamma=90.00
Last column: nearest neighbours and their distance in Å.
Fractional coordinates of all 3 atoms:
Se: 0.0549 0.0549 0.1099  4 Er 2.86
Cl: 0.2869 0.2869 0.5738  4 Er 3.05, 1 Se 3.21
Er: 0.6582 0.6582 0.3163  4 Se 2.86, 4 Cl 3.05

---

# Pr7Ho3

A relaxed structure of Pr7Ho3 (PBE-GGA, Alexandria).

Calculated values
**Crystal system**: hexagonal
**E above lowest polymorph**: 0.151 eV per atom
**Mass density**: 7.01 g cm⁻³

Unit cell a=6.2172 b=11.4142 c=11.4142 alpha=120.00 beta=90.00 gamma=90.00
Last column: nearest neighbours and their distance in Å.
Fractional coordinates of all 20 atoms:
Pr: 0.8730 0.8828 0.7657  4 Ho 3.68-3.79, 8 Pr 3.83-4.01
Pr: 0.2525 0.4735 0.9470  3 Pr 3.01-3.28
Pr: 0.2525 0.0530 0.5265  3 Pr 3.01-3.28
Ho: 0.8639 0.2213 0.4426  9 Pr 3.39-3.79
Ho: 0.8639 0.2213 0.7787  9 Pr 3.39-3.79
Ho: 0.3639 0.7787 0.2213  9 Pr 3.39-3.79
Pr: 0.7525 0.9470 0.4735  3 Pr 3.01-3.28
Pr: 0.3730 0.1172 0.2343  4 Ho 3.68-3.79, 8 Pr 3.83-4.01
Pr: 0.2525 0.4735 0.5265  3 Pr 3.01-3.28
Pr: 0.8730 0.2343 0.1172  4 Ho 3.68-3.79, 8 Pr 3.83-4.01
Pr: 0.9398 0.6667 0.3333  3 Pr 3.01
Pr: 0.7525 0.5265 0.4735  3 Pr 3.01-3.28
Pr: 0.4398 0.3333 0.6667  3 Pr 3.01
Ho: 0.3639 0.7787 0.5574  9 Pr 3.39-3.79
Pr: 0.3730 0.7657 0.8828  4 Ho 3.68-3.79, 8 Pr 3.83-4.01
Ho: 0.8639 0.5574 0.7787  9 Pr 3.39-3.79
Pr: 0.3730 0.1172 0.8828  4 Ho 3.68-3.79, 8 Pr 3.83-4.01
Pr: 0.7525 0.5265 0.0530  3 Pr 3.01-3.28
Ho: 0.3639 0.4426 0.2213  9 Pr 3.39-3.79
Pr: 0.8730 0.8828 0.1172  4 Ho 3.68-3.79, 8 Pr 3.83-4.01

---

# Er2HfUN4

A relaxed structure of Er2HfUN4 (PBE-GGA, Alexandria).

Calculated values
**Raw formation energy**: -13.37 eV/f.u.
**Crystal system**: monoclinic
**Mass density**: 12.43 g cm⁻³

Unit cell a=3.3544 b=5.8191 c=5.8381 alpha=108.95 beta=90.00 gamma=90.00
Last column: nearest neighbours and their distance in Å.
Fractional coordinates of all 8 atoms:
Er: 0.5000 0.0000 0.5000  6 N 2.41-2.44
N: 0.0000 0.7528 0.2363  1 Hf 2.29, 2 U 2.36, 3 Er 2.41-2.45
N: 0.5000 0.7585 0.7718  1 U 2.31, 2 Hf 2.31, 3 Er 2.44-2.46
N: 0.0000 0.2472 0.7637  1 Hf 2.29, 2 U 2.36, 3 Er 2.41-2.45
U: 0.5000 0.5000 0.0000  6 N 2.31-2.36
Er: 0.0000 0.5000 0.5000  6 N 2.45-2.46
Hf: 0.0000 0.0000 0.0000  6 N 2.29-2.31
N: 0.5000 0.2415 0.2282  1 U 2.31, 2 Hf 2.31, 3 Er 2.44-2.46

---

# RbCaRe2F

A relaxed structure of RbCaRe2F (PBE-GGA, Alexandria).

Calculated values
**Raw formation energy**: 13.59 eV/f.u.
**Crystal system**: tetragonal
**Mass density**: 5.93 g cm⁻³

Unit cell a=4.7319 b=6.4663 c=4.7319 alpha=90.00 beta=90.00 gamma=90.00
Last column: nearest neighbours and their distance in Å.
Fractional coordinates of all 5 atoms:
F: 0.5000 0.5000 0.5000  4 Ca 3.35
Ca: 0.0000 0.5000 0.0000  2 Rb 3.23, 4 F 3.35
Re: 0.5000 0.0000 0.0000  2 Rb 2.37
Re: 0.0000 0.0000 0.5000  2 Rb 2.37
Rb: 0.0000 0.0000 0.0000  4 Re 2.37

---

# ZnMoH

A relaxed structure of ZnMoH (PBE-GGA, Alexandria).

Calculated values
**Crystal system**: tetragonal
**E above lowest polymorph**: 0.162 eV per atom
**Mass density**: 7.70 g cm⁻³

Unit cell a=2.6872 b=2.6872 c=5.2056 alpha=104.96 beta=104.96 gamma=90.00
Last column: nearest neighbours and their distance in Å.
Fractional coordinates of all 3 atoms:
H: 0.2861 0.2861 0.5722  4 Mo 2.02
Zn: 0.9971 0.9971 0.9943  4 Zn 2.69, 5 Mo 2.72-2.85, 5 H 2.79-2.80
Mo: 0.7168 0.7168 0.4335  4 H 2.02

---

# Ho2ScHg4

A relaxed structure of Ho2ScHg4 (PBE-GGA, Alexandria).

Calculated values
**Crystal system**: tetragonal
**E above lowest polymorph**: 0.335 eV per atom
**Mass density**: 8.90 g cm⁻³

Unit cell a=5.3975 b=5.3975 c=8.4469 alpha=108.63 beta=108.63 gamma=90.00
Last column: nearest neighbours and their distance in Å.
Fractional coordinates of all 7 atoms:
Ho: 0.3931 0.3931 0.7862  5 Hg 3.02-3.14, 1 Ho 3.22
Hg: 0.1924 0.1924 0.3848  1 Sc 2.90, 1 Ho 3.02
Hg: 0.0000 0.5000 0.0000  2 Sc 2.70
Hg: 0.5000 0.0000 0.0000  2 Sc 2.70
Sc: 0.0000 0.0000 0.0000  6 Hg 2.70-2.90
Hg: 0.8076 0.8076 0.6152  1 Sc 2.90, 1 Ho 3.02
Ho: 0.6069 0.6069 0.2138  5 Hg 3.02-3.14, 1 Ho 3.22

---

# LiHgAs2

A relaxed structure of LiHgAs2 (PBE-GGA, Alexandria).

Calculated values
**Crystal system**: cubic
**Final energy**: -2.81 eV/atom
**Mass density**: 7.32 g cm⁻³

Unit cell a=4.8576 b=4.8576 c=4.8576 alpha=60.00 beta=60.00 gamma=60.00
Last column: nearest neighbours and their distance in Å.
Fractional coordinates of all 4 atoms:
As: 0.0000 0.0000 0.0000  4 As 2.97, 4 Li 2.97
As: 0.2500 0.2500 0.2500  4 Hg 2.97, 4 As 2.97
Hg: 0.5000 0.5000 0.5000  4 Li 2.97, 4 As 2.97
Li: 0.7500 0.7500 0.7500  4 Hg 2.97, 4 As 2.97

---

# YEr4Os2

A relaxed structure of YEr4Os2 (PBE-GGA, Alexandria).

Calculated values
**Crystal system**: monoclinic
**Final energy**: -6.95 eV/atom
**Mass density**: 10.72 g cm⁻³

Unit cell a=6.2303 b=7.9011 c=7.7379 alpha=112.17 beta=90.00 gamma=90.00
Last column: nearest neighbours and their distance in Å.
Fractional coordinates of all 14 atoms:
Er: 0.2500 0.9804 0.6201  2 Os 2.72-2.79
Er: 0.5012 0.4195 0.7600  4 Os 2.91-3.03, 2 Er 3.10-3.13
Er: 0.9988 0.4195 0.7600  4 Os 2.91-3.03, 2 Er 3.10-3.13
Os: 0.2500 0.2571 0.9742  6 Er 2.75-3.03
Er: 0.7500 0.7478 0.6728  2 Os 2.75-2.86
Os: 0.7500 0.3760 0.4154  6 Er 2.72-2.99, 1 Y 2.86
Y: 0.7500 0.1597 0.0241  1 Os 2.86
Y: 0.2500 0.8403 0.9759  1 Os 2.86
Er: 0.2500 0.2522 0.3272  2 Os 2.75-2.86
Er: 0.0012 0.5805 0.2400  4 Os 2.91-3.03, 2 Er 3.10-3.13
Os: 0.7500 0.7429 0.0258  6 Er 2.75-3.03
Er: 0.4988 0.5805 0.2400  4 Os 2.91-3.03, 2 Er 3.10-3.13
Os: 0.2500 0.6240 0.5846  6 Er 2.72-2.99, 1 Y 2.86
Er: 0.7500 0.0196 0.3799  2 Os 2.72-2.79

---

# Te2SeIN

A relaxed structure of Te2SeIN (PBE-GGA, Alexandria).

Calculated values
**Raw formation energy**: 6.86 eV/f.u.
**Crystal system**: tetragonal
**E above lowest polymorph**: 0.411 eV per atom
**Mass density**: 5.61 g cm⁻³

Unit cell a=5.9912 b=5.9912 c=3.9181 alpha=90.00 beta=90.00 gamma=90.00
Last column: nearest neighbours and their distance in Å.
Fractional coordinates of all 5 atoms:
I: 0.0000 0.0000 0.0000  2 N 1.96
Te: 0.0000 0.5000 0.0000  2 I 3.00
Te: 0.5000 0.0000 0.0000  2 I 3.00
Se: 0.5000 0.5000 0.5000  8 Te 3.58, 2 Se 3.92
N: 0.0000 0.0000 0.5000  2 I 1.96

---

# Rb2SbTeCl6

A relaxed structure of Rb2SbTeCl6 (PBE-GGA, Alexandria).

Calculated values
**Raw formation energy**: -10.38 eV/f.u.
**Crystal system**: tetragonal
**Mass density**: 2.94 g cm⁻³

Unit cell a=8.1684 b=8.1684 c=7.8825 alpha=58.79 beta=58.79 gamma=90.00
Last column: nearest neighbours and their distance in Å.
Fractional coordinates of all 10 atoms:
Te: 0.0000 0.0000 0.0000  2 Cl 2.69
Cl: 0.2724 0.7276 0.0000  1 Sb 2.63
Cl: 0.7276 0.2724 0.0000  1 Sb 2.63
Cl: 0.2505 0.2505 0.4989  1 Sb 2.68, 1 Te 2.69
Cl: 0.7495 0.7495 0.5011  1 Sb 2.68, 1 Te 2.69
Sb: 0.5000 0.5000 0.0000  6 Cl 2.63-2.68
Rb: 0.2500 0.7500 0.5000  12 Cl 3.95-4.08
Cl: 0.7276 0.7276 0.0000  1 Sb 2.63
Cl: 0.2724 0.2724 0.0000  1 Sb 2.63
Rb: 0.7500 0.2500 0.5000  12 Cl 3.95-4.08

---

# LaTbTh2Bi4

A relaxed structure of LaTbTh2Bi4 (PBE-GGA, Alexandria).

Calculated values
**Crystal system**: tetragonal
**Final energy**: -5.76 eV/atom
**Mass density**: 9.65 g cm⁻³

Unit cell a=6.5063 b=6.5068 c=7.9598 alpha=114.12 beta=114.12 gamma=90.00
Last column: nearest neighbours and their distance in Å.
Fractional coordinates of all 8 atoms:
Bi: 0.2484 0.2484 0.4969  3 Th 3.23-3.25, 2 Tb 3.25, 1 La 3.27
Bi: 0.9977 0.4977 0.9954  1 Tb 3.22, 2 La 3.25, 3 Th 3.25-3.28
Bi: 0.7516 0.7516 0.5031  3 Th 3.23-3.25, 2 Tb 3.25, 1 La 3.27
Bi: 0.5023 0.0023 0.0046  1 Tb 3.22, 3 Th 3.25-3.28, 2 La 3.25
Tb: 0.7500 0.2500 0.5000  6 Bi 3.22-3.25
Th: 0.0000 0.0000 0.0000  6 Bi 3.23-3.25
La: 0.5000 0.5000 0.0000  6 Bi 3.25-3.27
Th: 0.2500 0.7500 0.5000  6 Bi 3.25-3.28

---

# Rb2DyTmTe4

A relaxed structure of Rb2DyTmTe4 (PBE-GGA, Alexandria).

Calculated values
**Raw formation energy**: -10.96 eV/f.u.
**Crystal system**: monoclinic
**Mass density**: 5.60 g cm⁻³

Unit cell a=4.5045 b=7.8004 c=8.9358 alpha=106.91 beta=90.00 gamma=90.00
Last column: nearest neighbours and their distance in Å.
Fractional coordinates of all 8 atoms:
Te: 0.5000 0.7701 0.8026  2 Tm 3.09, 1 Dy 3.12
Dy: 0.5000 0.5000 0.0000  6 Te 3.11-3.12
Te: 0.0000 0.7353 0.1986  1 Tm 3.09, 2 Dy 3.11
Te: 0.0000 0.2647 0.8014  1 Tm 3.09, 2 Dy 3.11
Tm: 0.0000 0.0000 0.0000  6 Te 3.09
Te: 0.5000 0.2299 0.1974  2 Tm 3.09, 1 Dy 3.12
Rb: 0.0000 0.5000 0.5000  6 Te 3.67-3.68
Rb: 0.5000 0.0000 0.5000  6 Te 3.65

---

# CaAgW2

A relaxed structure of CaAgW2 (PBE-GGA, Alexandria).

Calculated values
**Crystal system**: cubic
**E above lowest polymorph**: 1.053 eV per atom
**Mass density**: 11.69 g cm⁻³

Unit cell a=4.6964 b=4.6964 c=4.6964 alpha=60.00 beta=60.00 gamma=60.00
Last column: nearest neighbours and their distance in Å.
Fractional coordinates of all 4 atoms:
W: 0.2500 0.2500 0.2500  4 Ag 2.88, 4 Ca 2.88
Ag: 0.5000 0.5000 0.5000  8 W 2.88
W: 0.7500 0.7500 0.7500  4 Ca 2.88, 4 Ag 2.88
Ca: 0.0000 0.0000 0.0000  8 W 2.88

---

# HoTmHgPb

A relaxed structure of HoTmHgPb (PBE-GGA, Alexandria).

Calculated values
**Crystal system**: cubic
**E above lowest polymorph**: 0.011 eV per atom
**Mass density**: 11.69 g cm⁻³

Unit cell a=5.3013 b=5.3013 c=5.3013 alpha=60.00 beta=60.00 gamma=60.00
Last column: nearest neighbours and their distance in Å.
Fractional coordinates of all 4 atoms:
Tm: 0.5000 0.5000 0.5000  4 Hg 3.25, 4 Pb 3.25
Hg: 0.7500 0.7500 0.7500  4 Ho 3.25, 4 Tm 3.25
Ho: 0.0000 0.0000 0.0000  4 Pb 3.25, 4 Hg 3.25
Pb: 0.2500 0.2500 0.2500  4 Tm 3.25, 4 Ho 3.25

---

# Sr8IrCl2

A relaxed structure of Sr8IrCl2 (PBE-GGA, Alexandria).

Calculated values
**Raw formation energy**: -7.59 eV/f.u.
**Crystal system**: monoclinic
**Mass density**: 3.39 g cm⁻³

Unit cell a=7.6202 b=8.7101 c=8.7101 alpha=58.65 beta=75.09 gamma=75.09
Last column: nearest neighbours and their distance in Å.
Fractional coordinates of all 11 atoms:
Ir: 0.0000 0.0000 0.0000  6 Sr 2.91-2.93
Cl: 0.5125 0.2508 0.2508  6 Sr 3.01-3.34
Cl: 0.4875 0.7492 0.7492  6 Sr 3.01-3.34
Sr: 0.7606 0.8804 0.8804  1 Ir 2.93, 1 Cl 3.28
Sr: 0.2492 0.6223 0.6223  1 Cl 3.01
Sr: 0.7745 0.3570 0.8704  1 Ir 2.91, 1 Cl 3.19
Sr: 0.2255 0.1296 0.6430  1 Ir 2.91, 1 Cl 3.19
Sr: 0.7508 0.3777 0.3777  1 Cl 3.01
Sr: 0.7745 0.8704 0.3570  1 Ir 2.91, 1 Cl 3.19
Sr: 0.2255 0.6430 0.1296  1 Ir 2.91, 1 Cl 3.19
Sr: 0.2394 0.1196 0.1196  1 Ir 2.93, 1 Cl 3.28